VASP calculation (GGA-PBE) on a relaxed Gd2GaOs crystal.

abc: 3.506 3.506 7.166
angles: 90.00 90.00 90.00
Fractional positions:
Gd 0.000 0.000 0.233
Gd 0.000 0.000 0.767
Ga 0.500 0.500 0.500
Os 0.500 0.500 0.000

Values from the calculation:
energy relative to the elements = -347 meV per atom
DFT total energy = -10.952 eV/atom
density = 10830 kg/m³
total magnetic moment = 14.102 μB per cell

VASP calculation (GGA-PBE) on a relaxed GdGa3Os crystal.

abc: 6.460 6.460 6.460
angles: 90.00 90.00 90.00
Fractional positions:
Gd 0.000 0.000 0.500
Gd 0.000 0.500 0.000
Gd 0.500 0.000 0.000
Ga 0.000 0.000 0.000
Ga 0.290 0.290 0.290
Ga 0.290 0.290 0.710
Ga 0.290 0.710 0.290
Ga 0.290 0.710 0.710
Ga 0.710 0.290 0.290
Ga 0.710 0.290 0.710
Ga 0.710 0.710 0.290
Ga 0.710 0.710 0.710
Os 0.000 0.500 0.500
Os 0.500 0.000 0.500
Os 0.500 0.500 0.000

Values from the calculation:
energy relative to the elements = -481 meV per atom
DFT total energy = -7.360 eV/atom
density = 10288 kg/m³
total magnetic moment = 20.689 μB per cell

VASP calculation (GGA-PBE) on a relaxed GdPaGaOs crystal.

abc: 4.963 4.963 4.963
angles: 60.00 60.00 60.00
Fractional positions:
Gd 0.000 0.000 0.000
Pa 0.500 0.500 0.500
Ga 0.750 0.750 0.750
Os 0.250 0.250 0.250

Values from the calculation:
energy relative to the elements = -183 meV per atom
DFT total energy = -9.642 eV/atom
density = 12454 kg/m³
total magnetic moment = 7.069 μB per cell

VASP calculation (GGA-PBE) on a relaxed GdPuGaOs crystal.

abc: 4.938 4.938 4.938
angles: 60.00 60.00 60.00
Fractional positions:
Gd 0.000 0.000 0.000
Pu 0.500 0.500 0.500
Ga 0.750 0.750 0.750
Os 0.250 0.250 0.250

Values from the calculation:
energy relative to the elements = -173 meV per atom
DFT total energy = -10.841 eV/atom
density = 12894 kg/m³
total magnetic moment = 2.096 μB per cell

VASP calculation (GGA-PBE) on a relaxed SmGdGaOs crystal.

abc: 5.004 5.004 5.004
angles: 60.00 60.00 60.00
Fractional positions:
Sm 0.000 0.000 0.000
Gd 0.500 0.500 0.500
Ga 0.250 0.250 0.250
Os 0.750 0.750 0.750

Values from the calculation:
energy relative to the elements = -276 meV per atom
DFT total energy = -8.540 eV/atom
density = 10636 kg/m³
total magnetic moment = 6.983 μB per cell

VASP calculation (GGA-PBE) on a relaxed GdThGaOs crystal.

abc: 5.060 5.060 5.060
angles: 60.00 60.00 60.00
Fractional positions:
Gd 0.000 0.000 0.000
Th 0.500 0.500 0.500
Ga 0.750 0.750 0.750
Os 0.250 0.250 0.250

Values from the calculation:
energy relative to the elements = -278 meV per atom
DFT total energy = -9.217 eV/atom
density = 11765 kg/m³
total magnetic moment = 6.977 μB per cell

VASP calculation (GGA-PBE) on a relaxed GdTmGaOs crystal.

abc: 4.914 4.914 4.914
angles: 60.00 60.00 60.00
Fractional positions:
Gd 0.000 0.000 0.000
Tm 0.500 0.500 0.500
Ga 0.250 0.250 0.250
Os 0.750 0.750 0.750

Values from the calculation:
energy relative to the elements = -357 meV per atom
DFT total energy = -8.559 eV/atom
density = 11599 kg/m³
total magnetic moment = 7.011 μB per cell

VASP calculation (GGA-PBE) on a relaxed GdYGaOs crystal.

abc: 4.955 4.955 4.955
angles: 60.00 60.00 60.00
Fractional positions:
Gd 0.000 0.000 0.000
Y 0.500 0.500 0.500
Ga 0.250 0.250 0.250
Os 0.750 0.750 0.750

Values from the calculation:
energy relative to the elements = -328 meV per atom
DFT total energy = -9.029 eV/atom
density = 9767 kg/m³
total magnetic moment = 7.008 μB per cell